Compound: TbPmPrTh2
Source: Alexandria
Functional: PBE
Structure: optimized geometry

Calculated values
DFT formation energy	0.365	eV per atom
raw total energy	-5.4346	eV per atom
total magnetization	0.0	μB per cell
N(E_F)	1.592	states/eV/atom

Cell: 6.733 15.799 6.736 Å, 90.00 90.00 90.00°
Space group Cmcm (No. 63)
Inequivalent atoms, fractional coordinates:
Tb 0.000 0.151 0.250 x4
Pm 0.000 0.349 0.250 x4
Pr 0.000 0.245 0.750 x4
Th 0.248 0.000 0.000 x8



Compound: TbPmPr3Th
Source: Alexandria
Functional: PBE
Structure: optimized geometry

Calculated values
DFT formation energy	0.027	eV per atom
raw total energy	-5.1627	eV per atom
total magnetization	0.0	μB per cell
N(E_F)	1.584	states/eV/atom

Cell: 10.949 3.659 10.989 Å, 90.00 109.36 90.00°
Space group P2_1/m (No. 11)
Inequivalent atoms, fractional coordinates:
Tb 0.204 0.250 0.383 x2
Pm 0.369 0.250 0.868 x2
Pr 0.041 0.250 0.865 x2
Pr 0.291 0.750 0.126 x2
Pr 0.454 0.750 0.625 x2
Th 0.120 0.750 0.619 x2



Compound: Tb4PmPr2Th
Source: Alexandria
Functional: PBE
Structure: optimized geometry

Calculated values
DFT formation energy	0.031	eV per atom
raw total energy	-5.0004	eV per atom
total magnetization	0.0	μB per cell
N(E_F)	1.326	states/eV/atom

Cell: 5.132 5.147 10.094 Å, 90.00 90.00 90.00°
Space group Pmmm (No. 47)
Inequivalent atoms, fractional coordinates:
Tb 0.000 0.000 0.245 x2
Tb 0.500 0.500 0.245 x2
Pm 0.000 0.500 0.500 x1
Pr 0.000 0.500 0.000 x1
Pr 0.500 0.000 0.500 x1
Th 0.500 0.000 0.000 x1



Compound: Tb2PmPr4Th
Source: Alexandria
Functional: PBE
Structure: optimized geometry

Calculated values
DFT formation energy	0.039	eV per atom
raw total energy	-5.0294	eV per atom
total magnetization	0.0	μB per cell
N(E_F)	1.510	states/eV/atom

Cell: 5.155 5.162 10.358 Å, 90.00 90.04 90.00°
Space group P2/m (No. 10)
Inequivalent atoms, fractional coordinates:
Tb 0.000 0.000 0.000 x1
Tb 0.500 0.500 0.500 x1
Pm 0.000 0.000 0.500 x1
Pr 0.000 0.500 0.247 x2
Pr 0.500 0.000 0.246 x2
Th 0.500 0.500 0.000 x1